Material: Be4AlCl
Method: DFT, PBE-GGA
State: optimized geometry

abc: 4.6775 4.6775 4.6775
angles: 60.00 60.00 60.00
Element x y z (fractional)
Be 0.3684 0.3684 0.8948
Cl 0.7500 0.7500 0.7500
Be 0.3684 0.8948 0.3684
Al 0.0000 0.0000 0.0000
Be 0.8948 0.3684 0.3684
Be 0.3684 0.3684 0.3684

space-group type: No. 216
raw formation energy: 0.43 eV/atom
final energy: -2.982 eV per atom